Crystalline CaIn2NiAg at its relaxed geometry, computed with PBE.

Summary:
N(E_F): 2.507 states/eV/cell
formation energy: -0.121 eV per atom

Geometry as CIF:
```
data_CaIn2NiAg
_symmetry_space_group_name_H-M 'P 4/m m m'
_symmetry_Int_Tables_number 123
_symmetry_space_group_name_Hall '-P 4 2'
_cell_length_a 4.8741
_cell_length_b 4.8741
_cell_length_c 5.0970
_cell_angle_alpha 90.00
_cell_angle_beta 90.00
_cell_angle_gamma 90.00
loop_
_atom_site_label
_atom_site_fract_x
_atom_site_fract_y
_atom_site_fract_z
_atom_site_occupancy
Ca1 0.0000 0.0000 0.0000 1
In1 0.0000 0.5000 0.5000 1
Ni1 0.5000 0.5000 0.5000 1
Ag1 0.5000 0.5000 0.0000 1
```